{
  "formula": "DyMoBrO4",
  "functional": "PBE+U",
  "state": "relaxed",
  "lattice_angstrom": [[5.2715, -3.6496, 0.0000], [5.2715, 3.6496, 0.0000], [-2.0326, 0.0000, 6.6683]],
  "species": ["Dy", "Dy", "Mo", "Mo", "Br", "Br", "O", "O", "O", "O", "O", "O", "O", "O"],
  "fractional_positions": [[0.2303, 0.2303, 0.1185], [0.7697, 0.7697, 0.8815], [0.3638, 0.3638, 0.7331], [0.6362, 0.6362, 0.2669], [0.0113, 0.0113, 0.7560], [0.9887, 0.9887, 0.2440], [0.1117, 0.4929, 0.8489], [0.2981, 0.2981, 0.4681], [0.4596, 0.4596, 0.2006], [0.4929, 0.1117, 0.8489], [0.5071, 0.8883, 0.1511], [0.5404, 0.5404, 0.7994], [0.7019, 0.7019, 0.5319], [0.8883, 0.5071, 0.1511]],
  "total_energy_ev_per_atom": -6.94,
  "volume_a3_per_cell": 256.6,
  "magmom_total_mub_per_cell": 0.00
}